Record 1
Compound: ZnPd9Au2
Source: Alexandria via LeMat-Bulk
Functional: PBE-GGA
Structure: relaxed

```
data_ZnPd9Au2
_chemical_formula_sum 'Zn1 Pd9 Au2'
_cell_length_a 3.986
_cell_length_b 3.986
_cell_length_c 11.831
_cell_angle_alpha 90.00
_cell_angle_beta 90.00
_cell_angle_gamma 90.00
_space_group_name_H-M_alt 'P 4/m m m'
_space_group_IT_number 123
_space_group_name_Hall '-P 4 2'
loop_
_atom_site_label
_atom_site_fract_x
_atom_site_fract_y
_atom_site_fract_z
_atom_site_occupancy
Zn1 0.000 0.000 0.000 1
Pd1 0.000 0.500 0.159 1
Pd2 0.000 0.500 0.500 1
Pd3 0.500 0.500 0.000 1
Pd4 0.500 0.500 0.329 1
Au1 0.000 0.000 0.330 1
```

Magnetic moment, μB/f.u.: 0.0
Calculated formation energy, eV/atom: -0.14

Record 2
Compound: ZnPd5Au
Source: Alexandria via LeMat-Bulk
Functional: PBE-GGA
Structure: relaxed

```
data_ZnPd5Au
_chemical_formula_sum 'Zn4 Pd20 Au4'
_cell_length_a 9.100
_cell_length_b 4.985
_cell_length_c 10.104
_cell_angle_alpha 90.00
_cell_angle_beta 94.84
_cell_angle_gamma 90.00
_space_group_name_H-M_alt 'C 1 2/c 1'
_space_group_IT_number 15
loop_
_space_group_symop_operation_xyz
'x,y,z'
'-x,-y,-z'
'-x,y,-z+1/2'
'x,-y,z+1/2'
'x+1/2,y+1/2,z'
'-x+1/2,-y+1/2,-z'
'-x+1/2,y+1/2,-z+1/2'
'x+1/2,-y+1/2,z+1/2'
loop_
_atom_site_label
_atom_site_fract_x
_atom_site_fract_y
_atom_site_fract_z
_atom_site_occupancy
Zn1 0.000 0.247 0.250 1
Pd1 0.000 0.258 0.750 1
Pd2 0.151 0.491 0.052 1
Pd3 0.241 0.004 0.685 1
Au1 0.000 0.000 0.000 1
```

Magnetic moment, μB/f.u.: 0.0
Calculated formation energy, eV/atom: -0.06

Record 3
Compound: ZnPd4Au
Source: Alexandria via LeMat-Bulk
Functional: PBE-GGA
Structure: relaxed

```
data_ZnPd4Au
_chemical_formula_sum 'Zn2 Pd8 Au2'
_cell_length_a 4.889
_cell_length_b 6.325
_cell_length_c 6.874
_cell_angle_alpha 112.84
_cell_angle_beta 91.16
_cell_angle_gamma 105.62
_space_group_name_H-M_alt 'P -1'
_space_group_IT_number 2
loop_
_space_group_symop_operation_xyz
'x,y,z'
'-x,-y,-z'
loop_
_atom_site_label
_atom_site_fract_x
_atom_site_fract_y
_atom_site_fract_z
_atom_site_occupancy
Zn1 0.129 0.130 0.370 1
Pd1 0.029 0.357 0.777 1
Pd2 0.208 0.875 0.962 1
Pd3 0.293 0.624 0.544 1
Pd4 0.437 0.115 0.697 1
Au1 0.374 0.376 0.125 1
```

Magnetic moment, μB/f.u.: 0.0
Calculated formation energy, eV/atom: -0.23

Record 4
Compound: Zn3Pd2Au
Source: Alexandria via LeMat-Bulk
Functional: PBE-GGA
Structure: relaxed

```
data_Zn3Pd2Au
_chemical_formula_sum 'Zn3 Pd2 Au1'
_cell_length_a 2.961
_cell_length_b 2.961
_cell_length_c 10.308
_cell_angle_alpha 90.00
_cell_angle_beta 90.00
_cell_angle_gamma 90.00
_space_group_name_H-M_alt 'P 4/m m m'
_space_group_IT_number 123
_space_group_name_Hall '-P 4 2'
loop_
_atom_site_label
_atom_site_fract_x
_atom_site_fract_y
_atom_site_fract_z
_atom_site_occupancy
Zn1 0.000 0.000 0.000 1
Zn2 0.000 0.000 0.320 1
Pd1 0.500 0.500 0.160 1
Au1 0.500 0.500 0.500 1
```

Magnetic moment, μB/f.u.: 0.0
Calculated formation energy, eV/atom: -0.43

Record 5
Compound: Zn2Pd3Au4
Source: Alexandria via LeMat-Bulk
Functional: PBE-GGA
Structure: relaxed

```
data_Zn2Pd3Au4
_chemical_formula_sum 'Zn4 Pd6 Au8'
_cell_length_a 2.875
_cell_length_b 7.742
_cell_length_c 13.460
_cell_angle_alpha 90.00
_cell_angle_beta 90.00
_cell_angle_gamma 90.00
_space_group_name_H-M_alt 'I m m m'
_space_group_IT_number 71
_space_group_name_Hall '-I 2 2'
loop_
_atom_site_label
_atom_site_fract_x
_atom_site_fract_y
_atom_site_fract_z
_atom_site_occupancy
Zn1 0.000 0.178 0.000 1
Pd1 0.000 0.000 0.500 1
Pd2 0.000 0.500 0.367 1
Au1 0.000 0.324 0.169 1
```

Magnetic moment, μB/f.u.: 0.0
Calculated formation energy, eV/atom: -0.20

Record 6
Compound: Zn6PdAu12
Source: Alexandria via LeMat-Bulk
Functional: PBE-GGA
Structure: relaxed

```
data_Zn6PdAu12
_chemical_formula_sum 'Zn18 Pd3 Au36'
_cell_length_a 12.4919
_cell_length_b 12.4919
_cell_length_c 7.1108
_cell_angle_alpha 90.00
_cell_angle_beta 90.00
_cell_angle_gamma 120.00
_space_group_name_H-M_alt 'R -3'
_space_group_IT_number 148
_space_group_name_Hall '-R 3'
loop_
_atom_site_label
_atom_site_fract_x
_atom_site_fract_y
_atom_site_fract_z
_atom_site_occupancy
Zn1 0.0273 0.2751 0.3298 1
Pd1 0.0000 0.0000 0.0000 1
Au1 0.0025 0.1388 0.6622 1
Au2 0.0659 0.5615 0.6705 1
```

Magnetic moment, μB/f.u.: 0.0
Calculated formation energy, eV/atom: -0.14

Record 7
Compound: Zn2Pd5Au
Source: Alexandria via LeMat-Bulk
Functional: PBE-GGA
Structure: relaxed

```
data_Zn2Pd5Au
_chemical_formula_sum 'Zn4 Pd10 Au2'
_cell_length_a 5.695
_cell_length_b 5.695
_cell_length_c 7.572
_cell_angle_alpha 90.00
_cell_angle_beta 90.00
_cell_angle_gamma 90.00
_space_group_name_H-M_alt 'I 4/m m m'
_space_group_IT_number 139
_space_group_name_Hall '-I 4 2'
loop_
_atom_site_label
_atom_site_fract_x
_atom_site_fract_y
_atom_site_fract_z
_atom_site_occupancy
Zn1 0.000 0.500 0.000 1
Pd1 0.000 0.000 0.000 1
Pd2 0.250 0.250 0.250 1
Au1 0.000 0.000 0.500 1
```

Magnetic moment, μB/f.u.: 0.0
Calculated formation energy, eV/atom: -0.30

Record 8
Compound: Zn3PdAu
Source: Alexandria via LeMat-Bulk
Functional: PBE-GGA
Structure: relaxed

```
data_Zn3PdAu
_chemical_formula_sum 'Zn6 Pd2 Au2'
_cell_length_a 4.222
_cell_length_b 5.459
_cell_length_c 6.957
_cell_angle_alpha 90.00
_cell_angle_beta 90.00
_cell_angle_gamma 90.00
_space_group_name_H-M_alt 'P m m n'
_space_group_IT_number 59
loop_
_space_group_symop_operation_xyz
'x,y,z'
'-x,-y,-z'
'-x+1/2,-y+1/2,z'
'x+1/2,y+1/2,-z'
'x+1/2,-y,-z'
'-x+1/2,y,z'
'-x,y+1/2,-z'
'x,-y+1/2,z'
loop_
_atom_site_label
_atom_site_fract_x
_atom_site_fract_y
_atom_site_fract_z
_atom_site_occupancy
Zn1 0.250 0.018 0.248 1
Zn2 0.250 0.750 0.567 1
Pd1 0.250 0.250 0.657 1
Au1 0.250 0.750 0.938 1
```

Magnetic moment, μB/f.u.: 0.0
Calculated formation energy, eV/atom: -0.21

Record 9
Compound: Zn2PdAu3
Source: Alexandria via LeMat-Bulk
Functional: PBE-GGA
Structure: relaxed

```
data_Zn2PdAu3
_chemical_formula_sum 'Zn8 Pd4 Au12'
_cell_length_a 14.940
_cell_length_b 4.121
_cell_length_c 6.631
_cell_angle_alpha 90.00
_cell_angle_beta 90.61
_cell_angle_gamma 90.00
_space_group_name_H-M_alt 'C 1 2/m 1'
_space_group_IT_number 12
loop_
_space_group_symop_operation_xyz
'x,y,z'
'-x,-y,-z'
'-x,y,-z'
'x,-y,z'
'x+1/2,y+1/2,z'
'-x+1/2,-y+1/2,-z'
'-x+1/2,y+1/2,-z'
'x+1/2,-y+1/2,z'
loop_
_atom_site_label
_atom_site_fract_x
_atom_site_fract_y
_atom_site_fract_z
_atom_site_occupancy
Zn1 0.041 0.000 0.207 1
Zn2 0.230 0.500 0.656 1
Pd1 0.152 0.500 0.286 1
Au1 0.065 0.500 0.848 1
Au2 0.115 0.000 0.569 1
Au3 0.186 0.000 0.982 1
```

Magnetic moment, μB/f.u.: 0.0
Calculated formation energy, eV/atom: -0.21

Record 10
Compound: ZnPd7Au3
Source: Alexandria via LeMat-Bulk
Functional: PBE-GGA
Structure: relaxed

```
data_ZnPd7Au3
_chemical_formula_sum 'Zn1 Pd7 Au3'
_cell_length_a 5.5720
_cell_length_b 5.5720
_cell_length_c 6.9007
_cell_angle_alpha 90.00
_cell_angle_beta 90.00
_cell_angle_gamma 120.00
_space_group_name_H-M_alt 'P 3 m 1'
_space_group_IT_number 156
loop_
_space_group_symop_operation_xyz
'x,y,z'
'-y,x-y,z'
'-x+y,-x,z'
'-y,-x,z'
'-x+y,y,z'
'x,x-y,z'
loop_
_atom_site_label
_atom_site_fract_x
_atom_site_fract_y
_atom_site_fract_z
_atom_site_occupancy
Zn1 0.0000 0.0000 0.0000 1
Pd1 0.3333 0.6667 0.3186 1
Pd2 0.3343 0.1672 0.3169 1
Pd3 0.5011 0.0023 0.9877 1
Au1 0.1658 0.3315 0.6559 1
```

Magnetic moment, μB/f.u.: 0.0
Calculated formation energy, eV/atom: -0.06

Summary of density of states at the Fermi level in states/eV per cell
15.035, 32.000, 9.742, 1.818, 5.689, 17.435, 18.362, 2.473, 6.608, 11.177
(order as listed above)